(1)
## Ti3FeS (PBE)

Data for an optimized crystal structure of Ti3FeS.

The value obtained for the total moment is 0.00 μB/cell. Its space group is Pm-3m. As for the energy above the most stable polymorph in this dataset: 0.88 eV per formula unit. The density comes out at 4.3 g/cm³. The calculation puts the formation energy without anion corrections at 0.19 eV per atom. The calculated volume comes out at 17.8 Å³/atom. Its density of states at the Fermi level is 0.733 states/eV per atom. The final energy is -7.070 eV/atom.

Cell lengths 4.4651, 4.4651, 4.4651 Å; angles 90.00, 90.00, 90.00 degrees
Positions (direct):
Ti: 0.5000 0.0000 0.0000
S: 0.5000 0.5000 0.5000
Ti: 0.0000 0.0000 0.5000
Fe: 0.0000 0.0000 0.0000
Ti: 0.0000 0.5000 0.0000

(2)
## BiSe (PBE)

Data for an optimized crystal structure of BiSe.

The value obtained for the total moment is 0.00 μB/cell. Its space group is P2_1/c. As for the energy above the most stable polymorph in this dataset: 0.24 eV per formula unit. The density comes out at 7.1 g/cm³. The calculation puts the formation energy without anion corrections at -0.20 eV per atom. The calculated volume comes out at 33.7 Å³/atom. Its density of states at the Fermi level is 0.122 states/eV per atom. The final energy is -3.887 eV/atom.

Cell lengths 7.6370, 5.7525, 8.4059 Å; angles 46.92, 90.00, 90.00 degrees
Positions (direct):
Bi: 0.6822 0.3860 0.6148
Bi: 0.8178 0.3860 0.1148
Bi: 0.3178 0.6140 0.3852
Se: 0.3442 0.2150 0.2842
Se: 0.1558 0.2150 0.7842
Bi: 0.1822 0.6140 0.8852
Se: 0.8442 0.7850 0.2158
Se: 0.6558 0.7850 0.7158